Here is an optimized crystal structure of Ca6Ac from Alexandria. Energies are from PBE.

a = 8.9849 Å, b = 8.9849 Å, c = 8.9849 Å
α = 90.00°, β = 90.00°, γ = 90.00°
Element x y z (fractional)
Ca: 0.0000 0.2500 0.5000
Ca: 0.0000 0.5000 0.2500
Ca: 0.0000 0.5000 0.7500
Ca: 0.0000 0.7500 0.5000
Ca: 0.2500 0.0000 0.5000
Ca: 0.2500 0.5000 0.0000
Ca: 0.5000 0.0000 0.2500
Ca: 0.5000 0.0000 0.7500
Ca: 0.5000 0.2500 0.0000
Ca: 0.5000 0.7500 0.0000
Ca: 0.7500 0.0000 0.5000
Ca: 0.7500 0.5000 0.0000
Ac: 0.0000 0.0000 0.0000
Ac: 0.5000 0.5000 0.5000

Values from the calculation:
Crystal system: cubic
Offset from the most stable computed form: 775 meV/atom
E_tot: -0.0484 hartree per atom
Symmetry: Im-3m (229)